TiInF4, optimized geometry, DFT PBE; spin magnetization = 1.0 μB/f.u.; calculated total energy = -5.66 eV/atom
1.0
7.994 0.000 0.000
0.000 7.994 0.000
0.000 0.000 3.875
Ti In F
2 2 8
Direct
0.250 0.750 0.000
0.750 0.250 0.000
0.250 0.250 0.480
0.750 0.750 0.520
0.037 0.750 0.199
0.250 0.537 0.801
0.250 0.963 0.801
0.463 0.750 0.199
0.537 0.250 0.801
0.750 0.037 0.199
0.750 0.463 0.199
0.963 0.250 0.801